This record from Alexandria via LeMat-Bulk describes a relaxed Dy5Mo2O12 crystal. The functional is GGA+U.

abc: 6.824 6.824 7.582
angles: 106.30 106.30 50.03
Atoms (fractional coordinates):
Dy 0.000 0.000 0.000
Dy 0.305 0.305 0.139
Dy 0.315 0.315 0.679
Dy 0.685 0.685 0.321
Dy 0.695 0.695 0.861
Mo 0.219 0.781 0.500
Mo 0.781 0.219 0.500
O 0.002 0.002 0.294
O 0.091 0.580 0.415
O 0.098 0.593 0.926
O 0.407 0.902 0.074
O 0.420 0.909 0.585
O 0.500 0.500 0.317
O 0.500 0.500 0.683
O 0.580 0.091 0.415
O 0.593 0.098 0.926
O 0.902 0.407 0.074
O 0.909 0.420 0.585
O 0.998 0.998 0.706

Output
* E_tot: -153.0 eV for the cell shown